# 1
! Pu2Pb2O7, relaxed, DFT PBE; values from VASP
&SYSTEM
  ibrav = 0, nat = 22, ntyp = 3
/
ATOMIC_SPECIES
Pu 244.00 Pu.upf
Pb 207.20 Pb.upf
O 16.00 O.upf
ATOMIC_POSITIONS crystal
Pu 0.6250 0.1250 0.1250
Pu 0.1250 0.6250 0.1250
Pu 0.1250 0.1250 0.6250
Pu 0.1250 0.1250 0.1250
Pb 0.6250 0.6250 0.6250
Pb 0.6250 0.6250 0.1250
Pb 0.6250 0.1250 0.6250
Pb 0.1250 0.6250 0.6250
O 0.1955 0.1955 0.8045
O 0.1955 0.8045 0.1955
O 0.4455 0.0545 0.4455
O 0.4455 0.4455 0.0545
O 0.7500 0.7500 0.7500
O 0.8045 0.1955 0.1955
O 0.4455 0.0545 0.0545
O 0.0545 0.4455 0.4455
O 0.0545 0.0545 0.4455
O 0.0545 0.4455 0.0545
O 0.1955 0.8045 0.8045
O 0.5000 0.5000 0.5000
O 0.8045 0.1955 0.8045
O 0.8045 0.8045 0.1955
CELL_PARAMETERS angstrom
-4.2599 1.6252 6.5418
-2.4274 -5.9259 4.7513
3.2675 -0.9180 7.2155
! Crystal system: cubic
! Raw formation energy in eV/atom: -2.191
! Space-group type: Fd-3m


# 2
! Pu2PbO8, relaxed, DFT PBE; values from VASP
&SYSTEM
  ibrav = 0, nat = 11, ntyp = 3
/
ATOMIC_SPECIES
Pu 244.00 Pu.upf
Pb 207.20 Pb.upf
O 16.00 O.upf
ATOMIC_POSITIONS crystal
Pu 0.2777 0.4627 0.7223
Pu 0.7223 0.5373 0.2777
Pb 0.0000 0.0000 0.0000
O 0.6424 0.3293 0.9385
O 0.9385 0.6707 0.6424
O 0.1827 0.2270 0.8173
O 0.8173 0.7730 0.1827
O 0.0615 0.3293 0.3576
O 0.3576 0.6707 0.0615
O 0.3770 0.6860 0.6230
O 0.6230 0.3140 0.3770
CELL_PARAMETERS angstrom
5.7101 0.0285 -2.5311
0.6870 5.4546 -1.0632
0.0389 -0.0285 6.2459
! Crystal system: monoclinic
! Raw formation energy in eV/atom: -2.002
! Space-group type: C2/m


# 3
! Pu2PbO, relaxed, DFT PBE; values from VASP
&SYSTEM
  ibrav = 0, nat = 4, ntyp = 3
/
ATOMIC_SPECIES
Pu 244.00 Pu.upf
Pb 207.20 Pb.upf
O 16.00 O.upf
ATOMIC_POSITIONS crystal
Pu 0.0539 0.0539 0.8383
Pu 0.2640 0.2640 0.2079
Pb 0.8266 0.8266 0.5202
O 0.3554 0.3554 0.9337
CELL_PARAMETERS angstrom
3.7221 0.0000 0.0000
1.8610 3.2234 0.0000
1.8610 1.0745 8.3312
! Crystal system: trigonal
! Raw formation energy in eV/atom: -1.256
! Space-group type: R3m
! Relative energy among the computed polymorphs in meV/atom: 62.7


# 4
! PuPb2O8, relaxed, DFT PBE; values from VASP
&SYSTEM
  ibrav = 0, nat = 11, ntyp = 3
/
ATOMIC_SPECIES
Pu 244.00 Pu.upf
Pb 207.20 Pb.upf
O 16.00 O.upf
ATOMIC_POSITIONS crystal
Pu 0.5000 0.0000 0.0000
Pb 0.1353 0.6106 0.2695
Pb 0.8647 0.3894 0.7305
O 0.5155 0.6084 0.0284
O 0.3704 0.9363 0.7387
O 0.2455 0.3774 0.4905
O 0.0660 0.8599 0.1317
O 0.7545 0.6226 0.5095
O 0.6296 0.0637 0.2613
O 0.4845 0.3916 0.9716
O 0.9340 0.1401 0.8684
CELL_PARAMETERS angstrom
-2.4268 0.4060 2.4229
2.6828 -8.0537 4.0498
5.3014 1.4176 2.6268
! Crystal system: triclinic
! Raw formation energy in eV/atom: -1.137
! Space-group type: P-1


# 5
! Rb3Pu2PbO9, relaxed, DFT PBE; values from VASP
&SYSTEM
  ibrav = 0, nat = 15, ntyp = 4
/
ATOMIC_SPECIES
Rb 85.47 Rb.upf
Pu 244.00 Pu.upf
Pb 207.20 Pb.upf
O 16.00 O.upf
ATOMIC_POSITIONS crystal
Rb 0.3333 0.6667 0.6578
Rb 0.0000 0.0000 0.0000
Rb 0.6667 0.3333 0.3422
Pu 0.3333 0.6667 0.1545
Pu 0.6667 0.3333 0.8455
Pb 0.0000 0.0000 0.5000
O 0.8164 0.1836 0.6958
O 0.8164 0.6327 0.6958
O 0.3673 0.1836 0.6958
O 0.6327 0.8164 0.3042
O 0.1836 0.3673 0.3042
O 0.1836 0.8164 0.3042
O 0.5000 0.0000 0.0000
O 0.0000 0.5000 0.0000
O 0.5000 0.5000 0.0000
CELL_PARAMETERS angstrom
6.2264 0.0000 0.0000
-3.1132 5.3922 0.0000
0.0000 0.0000 7.7010
! Crystal system: trigonal
! Raw formation energy in eV/atom: -2.113
! Space-group type: P-3m1


# 6
! Rb2PuPb2O6, relaxed, DFT PBE; values from VASP
&SYSTEM
  ibrav = 0, nat = 11, ntyp = 4
/
ATOMIC_SPECIES
Rb 85.47 Rb.upf
Pu 244.00 Pu.upf
Pb 207.20 Pb.upf
O 16.00 O.upf
ATOMIC_POSITIONS crystal
Rb 0.8152 0.1848 0.0000
Rb 0.1848 0.8152 0.0000
Pu 0.0000 0.0000 0.5000
Pb 0.3278 0.6722 0.5000
Pb 0.6722 0.3278 0.5000
O 0.8381 0.8381 0.6893
O 0.0402 0.3510 0.6703
O 0.1619 0.1619 0.3107
O 0.3510 0.0402 0.6703
O 0.9598 0.6490 0.3297
O 0.6490 0.9598 0.3297
CELL_PARAMETERS angstrom
6.2316 0.2349 0.1062
-2.8758 5.5334 0.1062
-1.1512 -1.9788 6.5572
! Crystal system: monoclinic
! Raw formation energy in eV/atom: -1.795
! Space-group type: C2/m


# 7
! Rb2PuPbO6, relaxed, DFT PBE; values from VASP
&SYSTEM
  ibrav = 0, nat = 10, ntyp = 4
/
ATOMIC_SPECIES
Rb 85.47 Rb.upf
Pu 244.00 Pu.upf
Pb 207.20 Pb.upf
O 16.00 O.upf
ATOMIC_POSITIONS crystal
Rb 0.7500 0.2500 0.5000
Rb 0.2500 0.7500 0.5000
Pu 0.5000 0.5000 0.0000
Pb 0.0000 0.0000 0.0000
O 0.2698 0.2698 0.4605
O 0.7305 0.7303 0.0000
O 0.2697 0.7305 0.0000
O 0.7303 0.2695 0.0000
O 0.2695 0.2697 0.0000
O 0.7302 0.7302 0.5395
CELL_PARAMETERS angstrom
6.2093 0.0001 -0.0004
0.0000 6.2093 -0.0005
3.1045 3.1045 4.3907
! Crystal system: cubic
! Raw formation energy in eV/atom: -1.855
! Space-group type: Fm-3m


# 8
! Rb2Pu3PbO12, relaxed, DFT PBE; values from VASP
&SYSTEM
  ibrav = 0, nat = 18, ntyp = 4
/
ATOMIC_SPECIES
Rb 85.47 Rb.upf
Pu 244.00 Pu.upf
Pb 207.20 Pb.upf
O 16.00 O.upf
ATOMIC_POSITIONS crystal
Rb 0.6143 0.6143 0.6143
Rb 0.3857 0.3857 0.3857
Pu 0.5000 0.0000 0.0000
Pu 0.0000 0.5000 0.0000
Pu 0.0000 0.0000 0.5000
Pb 0.0000 0.0000 0.0000
O 0.2837 0.2837 0.9066
O 0.8857 0.8857 0.4085
O 0.4085 0.8857 0.8857
O 0.9066 0.2837 0.2837
O 0.8857 0.4085 0.8857
O 0.2837 0.9066 0.2837
O 0.7163 0.7163 0.0934
O 0.1143 0.1143 0.5915
O 0.5915 0.1143 0.1143
O 0.0934 0.7163 0.7163
O 0.1143 0.5915 0.1143
O 0.7163 0.0934 0.7163
CELL_PARAMETERS angstrom
-4.7970 -4.3158 3.7856
0.5495 -7.3133 -1.4769
3.1013 -4.0613 5.4640
! Crystal system: trigonal
! Raw formation energy in eV/atom: -2.205
! Space-group type: R-3m


# 9
! Rb2Pu2PbO7, relaxed, DFT PBE; values from VASP
&SYSTEM
  ibrav = 0, nat = 12, ntyp = 4
/
ATOMIC_SPECIES
Rb 85.47 Rb.upf
Pu 244.00 Pu.upf
Pb 207.20 Pb.upf
O 16.00 O.upf
ATOMIC_POSITIONS crystal
Rb 0.8097 0.8097 0.3807
Rb 0.1903 0.1903 0.6193
Pu 0.5932 0.5932 0.8135
Pu 0.4068 0.4068 0.1865
Pb 0.0000 0.0000 0.0000
O 0.5000 0.5000 0.0000
O 0.3193 0.3193 0.3615
O 0.6807 0.6807 0.6385
O 0.9151 0.4152 0.1698
O 0.4152 0.9151 0.1698
O 0.5848 0.0849 0.8302
O 0.0849 0.5848 0.8302
CELL_PARAMETERS angstrom
-2.1049 1.9833 3.2617
-3.6219 -2.2141 -0.9911
0.2631 -8.3835 8.1804
! Crystal system: tetragonal
! Raw formation energy in eV/atom: -2.255
! Space-group type: I4/mmm


# 10
! PuRhPb2O6, relaxed, DFT PBE; values from VASP
&SYSTEM
  ibrav = 0, nat = 20, ntyp = 4
/
ATOMIC_SPECIES
Pu 244.00 Pu.upf
Rh 102.91 Rh.upf
Pb 207.20 Pb.upf
O 16.00 O.upf
ATOMIC_POSITIONS crystal
Pu 0.5000 0.0000 0.5000
Pu 0.0000 0.5000 0.0000
Rh 0.5000 0.0000 0.0000
Rh 0.0000 0.5000 0.5000
Pb 0.0051 0.9715 0.2558
Pb 0.5051 0.5285 0.7558
Pb 0.9949 0.0285 0.7442
Pb 0.4949 0.4715 0.2442
O 0.2958 0.7172 0.0328
O 0.7958 0.7828 0.5328
O 0.7042 0.2828 0.9672
O 0.2042 0.2172 0.4672
O 0.2774 0.7124 0.4607
O 0.7774 0.7876 0.9607
O 0.7226 0.2876 0.5393
O 0.2226 0.2124 0.0393
O 0.9290 0.5130 0.2561
O 0.4290 0.9870 0.7561
O 0.0710 0.4870 0.7439
O 0.5710 0.0130 0.2439
CELL_PARAMETERS angstrom
-3.3612 4.5322 -1.5745
-4.0944 -3.7107 -1.9403
-3.5487 0.0073 7.4744
! Crystal system: monoclinic
! Raw formation energy in eV/atom: -1.560
! Space-group type: P2_1/c


# 11
! PuRhPbO6, relaxed, DFT PBE; values from VASP
&SYSTEM
  ibrav = 0, nat = 18, ntyp = 4
/
ATOMIC_SPECIES
Pu 244.00 Pu.upf
Rh 102.91 Rh.upf
Pb 207.20 Pb.upf
O 16.00 O.upf
ATOMIC_POSITIONS crystal
Pu 0.6667 0.3333 0.2500
Pu 0.3333 0.6667 0.7500
Rh 0.3333 0.6667 0.2500
Rh 0.6667 0.3333 0.7500
Pb 0.0000 0.0000 0.0000
Pb 0.0000 0.0000 0.5000
O 0.6393 0.6409 0.1480
O 0.0015 0.3607 0.1480
O 0.3607 0.0015 0.6480
O 0.9985 0.6393 0.8520
O 0.3591 0.3607 0.3520
O 0.0015 0.6409 0.3520
O 0.6409 0.0015 0.8520
O 0.6393 0.9985 0.3520
O 0.9985 0.3591 0.6480
O 0.3591 0.9985 0.1480
O 0.6409 0.6393 0.6480
O 0.3607 0.3591 0.8520
CELL_PARAMETERS angstrom
5.2886 0.0000 0.0000
-2.6443 4.5800 0.0000
0.0000 0.0000 11.2467
! Crystal system: trigonal
! Raw formation energy in eV/atom: -1.646
! Space-group type: P-31c


# 12
! PuRhPb2O8, relaxed, DFT PBE; values from VASP
&SYSTEM
  ibrav = 0, nat = 12, ntyp = 4
/
ATOMIC_SPECIES
Pu 244.00 Pu.upf
Rh 102.91 Rh.upf
Pb 207.20 Pb.upf
O 16.00 O.upf
ATOMIC_POSITIONS crystal
Pu 0.0000 0.0000 0.0000
Rh 0.0000 0.0000 0.5000
Pb 0.5000 0.5000 0.7414
Pb 0.5000 0.5000 0.2586
O 0.1697 0.8102 0.2522
O 0.6840 0.7070 0.0000
O 0.8303 0.1898 0.2522
O 0.8303 0.1898 0.7478
O 0.3160 0.2930 0.0000
O 0.1697 0.8102 0.7478
O 0.6973 0.7276 0.5000
O 0.3027 0.2724 0.5000
CELL_PARAMETERS angstrom
-0.0508 -5.1204 0.2251
4.5376 -0.0742 -2.2368
2.8956 0.2291 5.8658
! Crystal system: monoclinic
! Raw formation energy in eV/atom: -1.345
! Space-group type: P2/m


# 13
! PuRuPbO6, relaxed, DFT PBE; values from VASP
&SYSTEM
  ibrav = 0, nat = 18, ntyp = 4
/
ATOMIC_SPECIES
Pu 244.00 Pu.upf
Ru 101.07 Ru.upf
Pb 207.20 Pb.upf
O 16.00 O.upf
ATOMIC_POSITIONS crystal
Pu 0.6667 0.3333 0.2500
Pu 0.3333 0.6667 0.7500
Ru 0.3333 0.6667 0.2500
Ru 0.6667 0.3333 0.7500
Pb 0.0000 0.0000 0.0000
Pb 0.0000 0.0000 0.5000
O 0.6306 0.6411 0.1477
O 0.0105 0.3694 0.1477
O 0.3694 0.0105 0.6477
O 0.9895 0.6306 0.8523
O 0.3589 0.3694 0.3523
O 0.0105 0.6411 0.3523
O 0.6411 0.0105 0.8523
O 0.6306 0.9895 0.3523
O 0.9895 0.3589 0.6477
O 0.3589 0.9895 0.1477
O 0.6411 0.6306 0.6477
O 0.3694 0.3589 0.8523
CELL_PARAMETERS angstrom
5.3668 0.0000 0.0000
-2.6834 4.6478 0.0000
0.0000 0.0000 11.0376
! Crystal system: trigonal
! Raw formation energy in eV/atom: -1.693
! Space-group type: P-31c


# 14
! PuRuPb2O6, relaxed, DFT PBE; values from VASP
&SYSTEM
  ibrav = 0, nat = 10, ntyp = 4
/
ATOMIC_SPECIES
Pu 244.00 Pu.upf
Ru 101.07 Ru.upf
Pb 207.20 Pb.upf
O 16.00 O.upf
ATOMIC_POSITIONS crystal
Pu 0.0000 0.5000 0.0000
Ru 0.5000 0.0000 0.0000
Pb 0.2145 0.2315 0.4630
Pb 0.7855 0.7685 0.5370
O 0.2798 0.6683 0.3365
O 0.2191 0.1537 0.8380
O 0.7809 0.3157 0.1620
O 0.2191 0.6843 0.8380
O 0.7809 0.8463 0.1620
O 0.7202 0.3317 0.6635
CELL_PARAMETERS angstrom
5.1163 0.0000 0.1197
0.0000 5.7647 0.0000
-1.9960 -2.8824 5.2604
! Crystal system: monoclinic
! Raw formation energy in eV/atom: -1.529
! Space-group type: C2/m


# 15
! PuSbPbO6, relaxed, DFT PBE; values from VASP
&SYSTEM
  ibrav = 0, nat = 18, ntyp = 4
/
ATOMIC_SPECIES
Pu 244.00 Pu.upf
Sb 121.76 Sb.upf
Pb 207.20 Pb.upf
O 16.00 O.upf
ATOMIC_POSITIONS crystal
Pu 0.6667 0.3333 0.2500
Pu 0.3333 0.6667 0.7500
Sb 0.3333 0.6667 0.2500
Sb 0.6667 0.3333 0.7500
Pb 0.0000 0.0000 0.0000
Pb 0.0000 0.0000 0.5000
O 0.6208 0.6371 0.1451
O 0.0163 0.3792 0.1451
O 0.3792 0.0164 0.6451
O 0.9837 0.6208 0.8549
O 0.3629 0.3792 0.3549
O 0.0163 0.6371 0.3549
O 0.6371 0.0164 0.8549
O 0.6208 0.9836 0.3549
O 0.9837 0.3629 0.6451
O 0.3629 0.9836 0.1451
O 0.6371 0.6208 0.6451
O 0.3792 0.3629 0.8549
CELL_PARAMETERS angstrom
5.6196 0.0000 0.0000
-2.8098 4.8667 0.0000
0.0000 0.0000 10.6065
! Crystal system: trigonal
! Raw formation energy in eV/atom: -1.839
! Space-group type: P-31c


# 16
! PuScPbO6, relaxed, DFT PBE; values from VASP
&SYSTEM
  ibrav = 0, nat = 18, ntyp = 4
/
ATOMIC_SPECIES
Pu 244.00 Pu.upf
Sc 44.96 Sc.upf
Pb 207.20 Pb.upf
O 16.00 O.upf
ATOMIC_POSITIONS crystal
Pu 0.6667 0.3333 0.2500
Pu 0.3333 0.6667 0.7500
Sc 0.3333 0.6667 0.2500
Sc 0.6667 0.3333 0.7500
Pb 0.0000 0.0000 0.0000
Pb 0.0000 0.0000 0.5000
O 0.6377 0.6228 0.1463
O 0.9851 0.3623 0.1463
O 0.3623 0.9851 0.6463
O 0.0149 0.6377 0.8537
O 0.3772 0.3623 0.3537
O 0.9851 0.6228 0.3537
O 0.6228 0.9851 0.8537
O 0.6377 0.0149 0.3537
O 0.0149 0.3772 0.6463
O 0.3772 0.0149 0.1463
O 0.6228 0.6377 0.6463
O 0.3623 0.3772 0.8537
CELL_PARAMETERS angstrom
-5.1673 0.4897 2.0323
2.9970 -4.5745 1.0783
3.8358 4.5532 8.6557
! Crystal system: trigonal
! Raw formation energy in eV/atom: -2.399
! Space-group type: P-31c


# 17
! PuPbSe2O, relaxed, DFT PBE; values from VASP
&SYSTEM
  ibrav = 0, nat = 10, ntyp = 4
/
ATOMIC_SPECIES
Pu 244.00 Pu.upf
Pb 207.20 Pb.upf
Se 78.96 Se.upf
O 16.00 O.upf
ATOMIC_POSITIONS crystal
Pu 0.5000 0.0000 0.5768
Pu 0.0000 0.5000 0.4232
Pb 0.5000 0.0000 0.1395
Pb 0.0000 0.5000 0.8605
Se 0.0000 0.5000 0.6695
Se 0.0000 0.5000 0.0781
Se 0.5000 0.0000 0.9219
Se 0.5000 0.0000 0.3305
O 0.0000 0.0000 0.5000
O 0.5000 0.5000 0.5000
CELL_PARAMETERS angstrom
-0.7932 -3.2031 -2.1574
-0.4671 -2.1067 3.2995
-15.2962 3.6689 0.1771
! Crystal system: tetragonal
! Raw formation energy in eV/atom: -1.475
! Space-group type: P4/nmm


# 18
! PuSiPbO6, relaxed, DFT PBE; values from VASP
&SYSTEM
  ibrav = 0, nat = 9, ntyp = 4
/
ATOMIC_SPECIES
Pu 244.00 Pu.upf
Si 28.09 Si.upf
Pb 207.20 Pb.upf
O 16.00 O.upf
ATOMIC_POSITIONS crystal
Pu 0.6666 0.6667 0.5000
Si 0.3333 0.3333 0.5000
Pb 0.0000 0.0000 0.0000
O 0.0373 0.3552 0.3079
O 0.3552 0.0373 0.6921
O 0.6075 0.3552 0.6921
O 0.0373 0.6075 0.6921
O 0.3552 0.6075 0.3079
O 0.6075 0.0373 0.3079
CELL_PARAMETERS angstrom
-0.1675 5.0953 1.1975
-3.1954 3.2053 -2.6343
-3.9359 -0.9731 3.5903
! Crystal system: trigonal
! Raw formation energy in eV/atom: -2.143
! Space-group type: P312


# 19
! PuSi2PbO8, relaxed, DFT PBE; values from VASP
&SYSTEM
  ibrav = 0, nat = 12, ntyp = 4
/
ATOMIC_SPECIES
Pu 244.00 Pu.upf
Si 28.09 Si.upf
Pb 207.20 Pb.upf
O 16.00 O.upf
ATOMIC_POSITIONS crystal
Pu 0.5000 0.5000 0.5000
Si 0.7528 0.7528 0.7417
Si 0.2472 0.2472 0.2583
Pb 0.0000 0.0000 0.0000
O 0.6885 0.6885 0.9346
O 0.3115 0.3115 0.0654
O 0.5055 0.2597 0.3364
O 0.7403 0.4945 0.6636
O 0.1016 0.7403 0.6636
O 0.2597 0.8984 0.3364
O 0.8984 0.5055 0.3364
O 0.4945 0.1016 0.6636
CELL_PARAMETERS angstrom
4.9700 0.0000 0.0000
2.4850 4.3041 0.0000
2.4850 1.4347 8.3106
! Crystal system: trigonal
! Raw formation energy in eV/atom: -2.171
! Space-group type: R32